A plane-wave DFT calculation with PBE was carried out for a relaxed structure of Ag2IrCl.

Calculated values
The density of states at the Fermi level comes out at 3.1 states/eV/f.u. For the formation energy (no corrections), the calculation gives 0.5299 eV per atom. The calculation puts the size of the total moment at 0.0 μB/f.u.

Cell and atoms, written as extended XYZ:
```
8
Lattice="5.489 0.000 0.000 0.000 8.916 0.000 0.000 0.000 2.831" Properties=species:S:1:pos:R:3 pbc="T T T"
Ag 1.372 2.229 0.000
Ag 1.372 6.687 0.000
Ag 4.117 2.229 0.000
Ag 4.117 6.687 0.000
Ir 0.000 0.000 1.415
Ir 2.744 4.458 1.415
Cl 0.000 4.458 1.415
Cl 2.744 0.000 1.415
```

***

A plane-wave DFT calculation with PBE was carried out for a relaxed structure of Ag2IrCl.

Calculated values
The density of states at the Fermi level comes out at 1.9 states/eV/f.u. For the formation energy (no corrections), the calculation gives 0.7410 eV per atom. The calculation puts the size of the total moment at 0.0 μB/f.u.

Cell and atoms, written as extended XYZ:
```
16
Lattice="7.520 0.000 0.000 0.000 7.520 0.000 0.000 0.000 5.293" Properties=species:S:1:pos:R:3 pbc="T T T"
Ag 1.876 1.880 0.662
Ag 1.880 5.636 1.985
Ag 1.880 5.644 4.631
Ag 1.884 1.880 3.308
Ag 5.636 5.640 3.308
Ag 5.640 1.876 4.631
Ag 5.640 1.884 1.985
Ag 5.644 5.640 0.662
Ir 0.000 0.000 2.646
Ir 0.000 3.760 3.970
Ir 3.760 0.000 1.323
Ir 3.760 3.760 0.000
Cl 0.000 0.000 0.000
Cl 0.000 3.760 1.323
Cl 3.760 0.000 3.970
Cl 3.760 3.760 2.646
```

***

A plane-wave DFT calculation with PBE was carried out for a relaxed structure of AgIr2Cl.

Calculated values
The density of states at the Fermi level comes out at 5.7 states/eV/f.u. For the formation energy (no corrections), the calculation gives 0.7926 eV per atom. The calculation puts the size of the total moment at 0.0 μB/f.u.

Cell and atoms, written as extended XYZ:
```
4
Lattice="2.765 0.000 0.000 0.000 4.796 0.000 0.000 0.000 4.954" Properties=species:S:1:pos:R:3 pbc="T T T"
Ag 0.000 0.000 0.000
Ir 0.000 2.398 2.477
Ir 1.383 0.000 2.477
Cl 1.383 2.398 0.000
```